# 1
# Na5B7C3

A relaxed Na5B7C3 crystal (GGA-PBE, Alexandria via LeMat-Bulk).

Calculated values
Energy of formation ... 1.73 eV per formula unit
ΔE to the lowest computed polymorph ... 2 meV/atom

abc: 11.6520 11.6520 10.0377
angles: 106.99 106.99 13.85
With the nearest neighbours (Å) after each atom.
Positions (direct):
Na1 0.3992 0.3992 0.8017  8 B 2.61-2.90, 3 C 2.66-2.77, 2 Na 2.81
Na2 0.5000 0.5000 0.5000  12 B 2.70-2.95, 6 Na 2.81-2.98
Na3 0.2011 0.2011 0.3977  5 C 2.65-2.78, 7 B 2.66-2.84, 6 Na 2.81-2.94
Na4 0.2990 0.2990 0.0969  6 B 2.62-2.70, 6 C 2.64-2.73, 6 Na 2.81-2.92
Na5 0.0000 0.0000 0.0000  10 B 2.64-2.80, 6 Na 2.81-2.94, 2 C 2.89
Na6 0.1012 0.1012 0.7063  9 B 2.65-2.82, 3 C 2.76-2.79, 4 Na 2.81-2.92
Na7 0.7989 0.7989 0.6023  5 C 2.65-2.78, 7 B 2.66-2.84, 6 Na 2.81-2.94
Na8 0.8988 0.8988 0.2937  9 B 2.65-2.82, 3 C 2.76-2.79, 4 Na 2.81-2.92
Na9 0.6008 0.6008 0.1983  8 B 2.61-2.90, 3 C 2.66-2.77, 2 Na 2.81
Na10 0.7010 0.7010 0.9031  6 B 2.62-2.70, 6 C 2.64-2.73, 6 Na 2.81-2.92
B1 0.9154 0.9154 0.5836  3 B 1.66-1.80
B2 0.0846 0.0846 0.4164  3 B 1.66-1.80
B3 0.0201 0.0201 0.2881  3 B 1.66-1.81
B4 0.9799 0.9799 0.7119  3 B 1.66-1.81
B5 0.8131 0.8131 0.8787  3 C 1.62
B6 0.7803 0.7803 0.3093  3 C 1.60-1.63
B7 0.5242 0.5242 0.8001  3 B 1.74-1.81
B8 0.6280 0.6280 0.5048  1 C 1.55
B9 0.5924 0.5924 0.9331  2 C 1.62, 1 B 1.74
B10 0.4758 0.4758 0.1999  3 B 1.74-1.81
B11 0.4076 0.4076 0.0669  2 C 1.62, 1 B 1.74
B12 0.3720 0.3720 0.4952  1 C 1.55
B13 0.2197 0.2197 0.6907  3 C 1.60-1.63
B14 0.1869 0.1869 0.1213  3 C 1.62
C1 0.7184 0.7184 0.1840  3 B 1.60-1.62
C2 0.8759 0.8759 0.0051  3 B 1.62
C3 0.6878 0.6878 0.6258  3 B 1.55-1.63
C4 0.3122 0.3122 0.3742  3 B 1.55-1.63
C5 0.1241 0.1241 0.9949  3 B 1.62
C6 0.2816 0.2816 0.8160  3 B 1.60-1.62



# 2
# PrThTlAg

A relaxed PrThTlAg crystal (GGA-PBE, Alexandria via LeMat-Bulk).

Calculated values
Energy of formation ... -0.63 eV per formula unit

abc: 5.4379 5.4379 5.4379
angles: 60.00 60.00 60.00
With the nearest neighbours (Å) after each atom.
Positions (direct):
Pr1 0.5000 0.5000 0.5000  4 Tl 3.33, 4 Ag 3.33
Tl1 0.7500 0.7500 0.7500  4 Pr 3.33, 4 Th 3.33
Ag1 0.2500 0.2500 0.2500  4 Th 3.33, 4 Pr 3.33
Th1 0.0000 0.0000 0.0000  4 Ag 3.33, 4 Tl 3.33



# 3
# ScCd3Mo

A relaxed ScCd3Mo crystal (GGA-PBE, Alexandria via LeMat-Bulk).

Calculated values
Energy of formation ... 4.70 eV per formula unit
ΔE to the lowest computed polymorph ... 0 meV/atom

abc: 5.1688 5.1688 5.1688
angles: 90.00 90.00 90.00
With the nearest neighbours (Å) after each atom.
Positions (direct):
Sc1 0.5000 0.5000 0.5000  12 Cd 3.65
Mo1 0.0000 0.0000 0.0000  6 Cd 2.58
Cd1 0.0000 0.5000 0.0000  2 Mo 2.58
Cd2 0.0000 0.0000 0.5000  2 Mo 2.58
Cd3 0.5000 0.0000 0.0000  2 Mo 2.58



> Look up the energy of formation of the third one.

4.70 eV per formula unit